# HoAl3 PBE-GGA optimized geometry
data_HoAl3
_chemical_formula_sum 'Ho4 Al12'
_symmetry_space_group_name_H-M 'F m -3 m'
_symmetry_Int_Tables_number 225
_symmetry_space_group_name_Hall '-F 4 2 3'
_cell_length_a 6.829
_cell_length_b 6.829
_cell_length_c 6.829
_cell_angle_alpha 90.00
_cell_angle_beta 90.00
_cell_angle_gamma 90.00
loop_
_atom_site_label
_atom_site_type_symbol
_atom_site_fract_x
_atom_site_fract_y
_atom_site_fract_z
_atom_site_occupancy
Ho1 Ho 0.000 0.000 0.000 1
Al1 Al 0.000 0.000 0.500 1
Al2 Al 0.250 0.250 0.250 1
# - DFT total energy (eV per atom) = -4.03

# Tb2TmIn3PtAu2 PBE-GGA optimized geometry
data_Tb2TmIn3PtAu2
_chemical_formula_sum 'Tb4 Tm2 In6 Pt2 Au4'
_symmetry_space_group_name_H-M 'A m m 2'
_symmetry_Int_Tables_number 38
_cell_length_a 3.955
_cell_length_b 13.341
_cell_length_c 7.719
_cell_angle_alpha 90.00
_cell_angle_beta 90.00
_cell_angle_gamma 90.00
loop_
_symmetry_equiv_pos_as_xyz
'x,y,z'
'-x,-y,z'
'-x,y,z'
'x,-y,z'
'x,y+1/2,z+1/2'
'-x,-y+1/2,z+1/2'
'-x,y+1/2,z+1/2'
'x,-y+1/2,z+1/2'
loop_
_atom_site_label
_atom_site_type_symbol
_atom_site_fract_x
_atom_site_fract_y
_atom_site_fract_z
_atom_site_occupancy
Tb1 Tb 0.000 0.201 0.000 1
Tm1 Tm 0.000 0.000 0.399 1
In1 In 0.500 0.000 0.055 1
In2 In 0.500 0.128 0.670 1
Pt1 Pt 0.000 0.000 0.797 1
Au1 Au 0.500 0.165 0.300 1
# - DFT total energy (eV per atom) = -4.67

Number 1: M_tot 0.01 Bohr magnetons per cell. Number 2: M_tot 0.01 Bohr magnetons per cell.